w.
Compound: LaCrAs2
Source: Alexandria via LeMat-Bulk
Functional: PBE-GGA
Structure: relaxed

Structure (CIF):
```
data_LaCrAs2
_chemical_formula_sum 'La4 Cr4 As8'
_cell_length_a 6.805
_cell_length_b 6.805
_cell_length_c 6.805
_cell_angle_alpha 90.00
_cell_angle_beta 90.00
_cell_angle_gamma 90.00
_space_group_name_H-M_alt 'F m -3 m'
_space_group_IT_number 225
_space_group_name_Hall '-F 4 2 3'
loop_
_atom_site_label
_atom_site_fract_x
_atom_site_fract_y
_atom_site_fract_z
_atom_site_occupancy
La1 0.000 0.000 0.000 1
Cr1 0.000 0.000 0.500 1
As1 0.250 0.250 0.250 1
```

x.
Compound: LaCrAs2
Source: Alexandria via LeMat-Bulk
Functional: PBE-GGA
Structure: relaxed

Structure (CIF):
```
data_LaCrAs2
_chemical_formula_sum 'La3 Cr3 As6'
_cell_length_a 4.0799
_cell_length_b 4.0799
_cell_length_c 18.2729
_cell_angle_alpha 90.00
_cell_angle_beta 90.00
_cell_angle_gamma 120.00
_space_group_name_H-M_alt 'R -3 m'
_space_group_IT_number 166
_space_group_name_Hall '-R 3 2"'
loop_
_atom_site_label
_atom_site_fract_x
_atom_site_fract_y
_atom_site_fract_z
_atom_site_occupancy
La1 0.0000 0.0000 0.0000 1
Cr1 0.0000 0.0000 0.5000 1
As1 0.0000 0.0000 0.2304 1
```

Least stable of them? w.

w.
Compound: LaCrAs2
Source: Alexandria via LeMat-Bulk
Functional: PBE-GGA
Structure: relaxed

Structure (CIF):
```
data_LaCrAs2
_chemical_formula_sum 'La1 Cr1 As2'
_cell_length_a 4.042
_cell_length_b 4.904
_cell_length_c 4.904
_cell_angle_alpha 90.00
_cell_angle_beta 90.00
_cell_angle_gamma 90.00
_space_group_name_H-M_alt 'P m m 2'
_space_group_IT_number 25
loop_
_space_group_symop_operation_xyz
'x,y,z'
'-x,-y,z'
'-x,y,z'
'x,-y,z'
loop_
_atom_site_label
_atom_site_fract_x
_atom_site_fract_y
_atom_site_fract_z
_atom_site_occupancy
La1 0.000 0.000 0.000 1
Cr1 0.500 0.500 0.498 1
As1 0.500 0.000 0.500 1
As2 0.500 0.500 0.998 1
```

x.
Compound: LaCrAs2
Source: Alexandria via LeMat-Bulk
Functional: PBE-GGA
Structure: relaxed

Structure (CIF):
```
data_LaCrAs2
_chemical_formula_sum 'La4 Cr4 As8'
_cell_length_a 5.115
_cell_length_b 5.115
_cell_length_c 15.000
_cell_angle_alpha 90.00
_cell_angle_beta 90.00
_cell_angle_gamma 90.00
_space_group_name_H-M_alt 'I -4 2 d'
_space_group_IT_number 122
_space_group_name_Hall 'I -4 2bw'
loop_
_atom_site_label
_atom_site_fract_x
_atom_site_fract_y
_atom_site_fract_z
_atom_site_occupancy
La1 0.000 0.000 0.000 1
Cr1 0.000 0.000 0.500 1
As1 0.070 0.250 0.625 1
```

y.
Compound: LaCrAs2
Source: Alexandria via LeMat-Bulk
Functional: PBE-GGA
Structure: relaxed

Structure (CIF):
```
data_LaCrAs2
_chemical_formula_sum 'La1 Cr1 As2'
_cell_length_a 4.780
_cell_length_b 4.780
_cell_length_c 3.879
_cell_angle_alpha 90.00
_cell_angle_beta 90.00
_cell_angle_gamma 90.00
_space_group_name_H-M_alt 'P 4/m m m'
_space_group_IT_number 123
_space_group_name_Hall '-P 4 2'
loop_
_atom_site_label
_atom_site_fract_x
_atom_site_fract_y
_atom_site_fract_z
_atom_site_occupancy
La1 0.000 0.000 0.000 1
Cr1 0.500 0.500 0.000 1
As1 0.000 0.500 0.500 1
```

z.
Compound: LaCrAs2
Source: Alexandria via LeMat-Bulk
Functional: PBE-GGA
Structure: relaxed

Structure (CIF):
```
data_LaCrAs2
_chemical_formula_sum 'La2 Cr2 As4'
_cell_length_a 4.290
_cell_length_b 5.561
_cell_length_c 7.128
_cell_angle_alpha 90.00
_cell_angle_beta 90.00
_cell_angle_gamma 90.00
_space_group_name_H-M_alt 'C m m m'
_space_group_IT_number 65
_space_group_name_Hall '-C 2 2'
loop_
_atom_site_label
_atom_site_fract_x
_atom_site_fract_y
_atom_site_fract_z
_atom_site_occupancy
La1 0.000 0.000 0.000 1
Cr1 0.000 0.000 0.500 1
As1 0.000 0.500 0.292 1
```

Least stable of them? x.

w.
Compound: LaCrAs2
Source: Alexandria via LeMat-Bulk
Functional: PBE-GGA
Structure: relaxed

Structure (CIF):
```
data_LaCrAs2
_chemical_formula_sum 'La3 Cr3 As6'
_cell_length_a 3.9917
_cell_length_b 3.9917
_cell_length_c 19.3334
_cell_angle_alpha 90.00
_cell_angle_beta 90.00
_cell_angle_gamma 120.00
_space_group_name_H-M_alt 'R 3 m'
_space_group_IT_number 160
_space_group_name_Hall 'R 3 -2"'
loop_
_atom_site_label
_atom_site_fract_x
_atom_site_fract_y
_atom_site_fract_z
_atom_site_occupancy
La1 0.0000 0.0000 0.0000 1
Cr1 0.0000 0.0000 0.8246 1
As1 0.0000 0.0000 0.2244 1
As2 0.0000 0.0000 0.4323 1
```

x.
Compound: LaCrAs2
Source: Alexandria via LeMat-Bulk
Functional: PBE-GGA
Structure: relaxed

Structure (CIF):
```
data_LaCrAs2
_chemical_formula_sum 'La2 Cr2 As4'
_cell_length_a 4.190
_cell_length_b 4.190
_cell_length_c 10.168
_cell_angle_alpha 90.00
_cell_angle_beta 90.00
_cell_angle_gamma 90.00
_space_group_name_H-M_alt 'I -4 m 2'
_space_group_IT_number 119
_space_group_name_Hall 'I -4 -2'
loop_
_atom_site_label
_atom_site_fract_x
_atom_site_fract_y
_atom_site_fract_z
_atom_site_occupancy
La1 0.000 0.000 0.000 1
Cr1 0.000 0.500 0.250 1
As1 0.000 0.000 0.500 1
As2 0.000 0.500 0.750 1
```

Least stable of them? x.

w.
Compound: LaCrAs2
Source: Alexandria via LeMat-Bulk
Functional: PBE-GGA
Structure: relaxed

Structure (CIF):
```
data_LaCrAs2
_chemical_formula_sum 'La2 Cr2 As4'
_cell_length_a 4.147
_cell_length_b 5.965
_cell_length_c 7.306
_cell_angle_alpha 90.00
_cell_angle_beta 90.00
_cell_angle_gamma 90.00
_space_group_name_H-M_alt 'I m m m'
_space_group_IT_number 71
_space_group_name_Hall '-I 2 2'
loop_
_atom_site_label
_atom_site_fract_x
_atom_site_fract_y
_atom_site_fract_z
_atom_site_occupancy
La1 0.000 0.000 0.000 1
Cr1 0.000 0.000 0.500 1
As1 0.000 0.500 0.204 1
```

x.
Compound: LaCrAs2
Source: Alexandria via LeMat-Bulk
Functional: PBE-GGA
Structure: relaxed

Structure (CIF):
```
data_LaCrAs2
_chemical_formula_sum 'La1 Cr1 As2'
_cell_length_a 4.150
_cell_length_b 3.988
_cell_length_c 5.860
_cell_angle_alpha 90.00
_cell_angle_beta 90.09
_cell_angle_gamma 90.00
_space_group_name_H-M_alt 'P 1 2/m 1'
_space_group_IT_number 10
loop_
_space_group_symop_operation_xyz
'x,y,z'
'-x,-y,-z'
'-x,y,-z'
'x,-y,z'
loop_
_atom_site_label
_atom_site_fract_x
_atom_site_fract_y
_atom_site_fract_z
_atom_site_occupancy
La1 0.000 0.000 0.000 1
Cr1 0.500 0.000 0.500 1
As1 0.499 0.500 0.759 1
```

Least stable of them? x.

w.
Compound: LiCrAs2
Source: Alexandria via LeMat-Bulk
Functional: PBE-GGA
Structure: relaxed

Structure (CIF):
```
data_LiCrAs2
_chemical_formula_sum 'Li3 Cr3 As6'
_cell_length_a 2.8359
_cell_length_b 2.8359
_cell_length_c 31.0178
_cell_angle_alpha 90.00
_cell_angle_beta 90.00
_cell_angle_gamma 120.00
_space_group_name_H-M_alt 'R 3 m'
_space_group_IT_number 160
_space_group_name_Hall 'R 3 -2"'
loop_
_atom_site_label
_atom_site_fract_x
_atom_site_fract_y
_atom_site_fract_z
_atom_site_occupancy
Li1 0.0000 0.0000 0.0000 1
Cr1 0.0000 0.0000 0.7426 1
As1 0.0000 0.0000 0.2639 1
As2 0.0000 0.0000 0.4697 1
```

x.
Compound: LiCrAs2
Source: Alexandria via LeMat-Bulk
Functional: PBE-GGA
Structure: relaxed

Structure (CIF):
```
data_LiCrAs2
_chemical_formula_sum 'Li2 Cr2 As4'
_cell_length_a 3.710
_cell_length_b 3.710
_cell_length_c 9.105
_cell_angle_alpha 90.00
_cell_angle_beta 90.00
_cell_angle_gamma 90.00
_space_group_name_H-M_alt 'I -4 m 2'
_space_group_IT_number 119
_space_group_name_Hall 'I -4 -2'
loop_
_atom_site_label
_atom_site_fract_x
_atom_site_fract_y
_atom_site_fract_z
_atom_site_occupancy
Li1 0.000 0.000 0.000 1
Cr1 0.000 0.500 0.250 1
As1 0.000 0.000 0.500 1
As2 0.000 0.500 0.750 1
```

y.
Compound: LiCrAs2
Source: Alexandria via LeMat-Bulk
Functional: PBE-GGA
Structure: relaxed

Structure (CIF):
```
data_LiCrAs2
_chemical_formula_sum 'Li1 Cr1 As2'
_cell_length_a 3.647
_cell_length_b 4.194
_cell_length_c 4.232
_cell_angle_alpha 90.00
_cell_angle_beta 90.00
_cell_angle_gamma 90.00
_space_group_name_H-M_alt 'P m m m'
_space_group_IT_number 47
loop_
_space_group_symop_operation_xyz
'x,y,z'
'-x,-y,-z'
'-x,-y,z'
'x,y,-z'
'x,-y,-z'
'-x,y,z'
'-x,y,-z'
'x,-y,z'
loop_
_atom_site_label
_atom_site_fract_x
_atom_site_fract_y
_atom_site_fract_z
_atom_site_occupancy
Li1 0.000 0.000 0.000 1
Cr1 0.000 0.500 0.500 1
As1 0.500 0.000 0.500 1
As2 0.500 0.500 0.000 1
```

z.
Compound: LiCrAs2
Source: Alexandria via LeMat-Bulk
Functional: PBE-GGA
Structure: relaxed

Structure (CIF):
```
data_LiCrAs2
_chemical_formula_sum 'Li2 Cr2 As4'
_cell_length_a 3.423
_cell_length_b 4.105
_cell_length_c 9.952
_cell_angle_alpha 90.00
_cell_angle_beta 90.00
_cell_angle_gamma 90.00
_space_group_name_H-M_alt 'C m m 2'
_space_group_IT_number 35
loop_
_space_group_symop_operation_xyz
'x,y,z'
'-x,-y,z'
'-x,y,z'
'x,-y,z'
'x+1/2,y+1/2,z'
'-x+1/2,-y+1/2,z'
'-x+1/2,y+1/2,z'
'x+1/2,-y+1/2,z'
loop_
_atom_site_label
_atom_site_fract_x
_atom_site_fract_y
_atom_site_fract_z
_atom_site_occupancy
Li1 0.000 0.000 0.000 1
Cr1 0.000 0.500 0.776 1
As1 0.000 0.000 0.593 1
As2 0.000 0.500 0.209 1
```

Least stable of them? w.